TbNd2Sm2Er: relaxed, GGA-PBE.

Properties
DOS(E_F) = 18.06 states/eV per cell
DFT total energy = -55.6 eV per cell
Formation energy from the elements = 0.06 eV/atom
Space-group type = No. 51

a = 5.7000 Å, b = 7.0688 Å, c = 9.8794 Å
α = 90.00°, β = 90.00°, γ = 90.00°
Positions (direct):
Tb: 0.5000 0.2578 0.6584
Tb: 0.5000 0.7578 0.3416
Nd: 0.5000 0.0075 0.9999
Nd: 0.0000 0.2574 0.1771
Nd: 0.5000 0.5075 0.0001
Nd: 0.0000 0.7574 0.8229
Sm: 0.0000 0.2575 0.8370
Sm: 0.5000 0.2576 0.3311
Sm: 0.0000 0.7575 0.1630
Sm: 0.5000 0.7576 0.6689
Er: 0.0000 0.0078 0.5001
Er: 0.0000 0.5078 0.4999

Tb6Nd3SmEr2: relaxed, GGA-PBE.

Properties
DOS(E_F) = 15.56 states/eV per cell
DFT total energy = -55.7 eV per cell
Formation energy from the elements = 0.02 eV/atom
Space-group type = No. 12

a = 6.2143 Å, b = 6.2143 Å, c = 11.8828 Å
α = 94.99°, β = 94.99°, γ = 119.98°
Positions (direct):
Tb: 0.9174 0.5835 0.7535
Tb: 0.7486 0.7486 0.2465
Tb: 0.0826 0.4165 0.2465
Tb: 0.5835 0.9174 0.7535
Tb: 0.2514 0.2514 0.7535
Tb: 0.4165 0.0826 0.2465
Nd: 0.1669 0.8331 0.5000
Nd: 0.8331 0.1669 0.5000
Nd: 0.5000 0.5000 0.5000
Sm: 0.0000 0.0000 0.0000
Er: 0.3333 0.6667 0.0000
Er: 0.6667 0.3333 0.0000

Tb3Nd2Sm6Er: relaxed, GGA-PBE.

Properties
DOS(E_F) = 15.87 states/eV per cell
DFT total energy = -56.1 eV per cell
Formation energy from the elements = 0.01 eV/atom
Space-group type = No. 12

a = 6.2526 Å, b = 6.2526 Å, c = 11.9671 Å
α = 94.99°, β = 94.99°, γ = 119.98°
Positions (direct):
Tb: 0.1664 0.8336 0.5000
Tb: 0.8336 0.1664 0.5000
Tb: 0.5000 0.5000 0.5000
Nd: 0.3333 0.6667 0.0000
Nd: 0.6667 0.3333 0.0000
Sm: 0.9160 0.5840 0.7482
Sm: 0.7519 0.7519 0.2521
Sm: 0.0840 0.4160 0.2518
Sm: 0.5840 0.9160 0.7482
Sm: 0.2481 0.2481 0.7479
Sm: 0.4160 0.0840 0.2518
Er: 0.0000 0.0000 0.0000

TbNd2Sm5Er: relaxed, GGA-PBE.

Properties
DOS(E_F) = 26.57 states/eV per cell
DFT total energy = -79.7 eV per cell
Formation energy from the elements = 0.28 eV/atom
Space-group type = No. 140

a = 8.6580 Å, b = 8.6580 Å, c = 10.1866 Å
α = 115.15°, β = 115.15°, γ = 90.00°
Positions (direct):
Tb: 0.2500 0.2500 0.5000
Tb: 0.7500 0.7500 0.5000
Nd: 0.1198 0.3802 0.0000
Nd: 0.6198 0.1198 0.0000
Nd: 0.3802 0.8802 0.0000
Nd: 0.8802 0.6198 0.0000
Sm: 0.9270 0.4270 0.2836
Sm: 0.6435 0.1435 0.7164
Sm: 0.0730 0.5730 0.7164
Sm: 0.1435 0.0730 0.7164
Sm: 0.5730 0.6435 0.7164
Sm: 0.8565 0.9270 0.2836
Sm: 0.4270 0.3565 0.2836
Sm: 0.3565 0.8565 0.2836
Sm: 0.5000 0.5000 0.0000
Sm: 0.0000 0.0000 0.0000
Er: 0.2500 0.7500 0.5000
Er: 0.7500 0.2500 0.5000

TbNd4SmEr2: relaxed, GGA-PBE.

Properties
DOS(E_F) = 10.59 states/eV per cell
DFT total energy = -37.4 eV per cell
Formation energy from the elements = 0.02 eV/atom
Space-group type = No. 10

a = 3.6285 Å, b = 6.2643 Å, c = 11.9139 Å
α = 79.81°, β = 90.00°, γ = 90.00°
Positions (direct):
Tb: 0.0000 0.5000 0.5000
Nd: 0.0000 0.7517 0.7478
Nd: 0.0000 0.2483 0.2522
Nd: 0.5000 0.7500 0.2498
Nd: 0.5000 0.2500 0.7502
Sm: 0.5000 0.5000 0.0000
Er: 0.0000 0.0000 0.0000
Er: 0.5000 0.0000 0.5000

Tb4Nd2SmEr2: relaxed, GGA-PBE.

Properties
DOS(E_F) = 13.64 states/eV per cell
DFT total energy = -41.2 eV per cell
Formation energy from the elements = 0.08 eV/atom
Space-group type = No. 2

a = 6.8399 Å, b = 9.9243 Å, c = 6.6429 Å
α = 121.23°, β = 126.86°, γ = 59.33°
Positions (direct):
Tb: 0.7377 0.8844 0.2013
Tb: 0.6215 0.7586 0.5085
Tb: 0.2623 0.1156 0.7987
Tb: 0.3785 0.2414 0.4915
Nd: 0.2698 0.6572 0.6004
Nd: 0.7302 0.3428 0.3996
Sm: 0.0000 0.0000 0.0000
Er: 0.8203 0.4452 0.0352
Er: 0.1797 0.5548 0.9648

TbNd6SmEr2: relaxed, GGA-PBE.

Properties
DOS(E_F) = 29.62 states/eV per cell
DFT total energy = -91.9 eV per cell
Formation energy from the elements = 0.12 eV/atom
Space-group type = No. 15

a = 9.7019 Å, b = 8.9512 Å, c = 8.9512 Å
α = 117.47°, β = 93.98°, γ = 93.98°
Positions (direct):
Tb: 0.2500 0.9704 0.0296
Tb: 0.7500 0.0296 0.9704
Nd: 0.0548 0.1121 0.7605
Nd: 0.4452 0.2395 0.8879
Nd: 0.9452 0.8879 0.2395
Nd: 0.5548 0.7605 0.1121
Nd: 0.3152 0.9876 0.4364
Nd: 0.1848 0.5636 0.0124
Nd: 0.6848 0.0124 0.5636
Nd: 0.8152 0.4364 0.9876
Nd: 0.1190 0.7055 0.4887
Nd: 0.3810 0.5113 0.2945
Nd: 0.8810 0.2945 0.5113
Nd: 0.6190 0.4887 0.7055
Sm: 0.2500 0.4087 0.5913
Sm: 0.7500 0.5913 0.4087
Er: 0.4531 0.8020 0.7056
Er: 0.0469 0.2944 0.1980
Er: 0.5469 0.1980 0.2944
Er: 0.9531 0.7056 0.8020

TbNdSm2Er5: relaxed, GGA-PBE.

Properties
DOS(E_F) = 19.71 states/eV per cell
DFT total energy = -78.5 eV per cell
Formation energy from the elements = 0.27 eV/atom
Space-group type = No. 140

a = 8.7257 Å, b = 8.7257 Å, c = 9.8057 Å
α = 116.42°, β = 116.42°, γ = 90.00°
Positions (direct):
Tb: 0.2500 0.7500 0.5000
Tb: 0.7500 0.2500 0.5000
Nd: 0.2500 0.2500 0.5000
Nd: 0.7500 0.7500 0.5000
Sm: 0.1158 0.3842 0.0000
Sm: 0.6158 0.1158 0.0000
Sm: 0.3842 0.8842 0.0000
Sm: 0.8842 0.6158 0.0000
Er: 0.9274 0.4274 0.2724
Er: 0.6551 0.1551 0.7276
Er: 0.0726 0.5726 0.7276
Er: 0.1551 0.0726 0.7276
Er: 0.5726 0.6551 0.7276
Er: 0.8449 0.9274 0.2724
Er: 0.4274 0.3449 0.2724
Er: 0.3449 0.8449 0.2724
Er: 0.5000 0.5000 0.0000
Er: 0.0000 0.0000 0.0000

Tb2NdSm2Er: relaxed, GGA-PBE.

Properties
DOS(E_F) = 20.15 states/eV per cell
DFT total energy = -52.9 eV per cell
Formation energy from the elements = 0.27 eV/atom
Space-group type = No. 58

a = 3.3999 Å, b = 6.6490 Å, c = 17.9060 Å
α = 90.00°, β = 90.00°, γ = 90.00°
Positions (direct):
Tb: 0.5000 0.7672 0.3521
Tb: 0.5000 0.2328 0.6479
Tb: 0.0000 0.7328 0.8521
Tb: 0.0000 0.2672 0.1479
Nd: 0.5000 0.5000 0.0000
Nd: 0.0000 0.0000 0.5000
Sm: 0.5000 0.2657 0.3165
Sm: 0.0000 0.7657 0.1835
Sm: 0.5000 0.7343 0.6835
Sm: 0.0000 0.2343 0.8165
Er: 0.0000 0.0000 0.0000
Er: 0.5000 0.5000 0.5000

Tb2Nd6Sm3Er: relaxed, GGA-PBE.

Properties
DOS(E_F) = 15.46 states/eV per cell
DFT total energy = -56.4 eV per cell
Formation energy from the elements = 0.01 eV/atom
Space-group type = No. 12

a = 6.3066 Å, b = 6.3066 Å, c = 11.9858 Å
α = 95.02°, β = 95.02°, γ = 120.00°
Positions (direct):
Tb: 0.3334 0.6666 0.0000
Tb: 0.6666 0.3334 0.0000
Nd: 0.9169 0.5841 0.7525
Nd: 0.7500 0.7500 0.2477
Nd: 0.0831 0.4159 0.2475
Nd: 0.5841 0.9169 0.7525
Nd: 0.2500 0.2500 0.7523
Nd: 0.4159 0.0831 0.2475
Sm: 0.1666 0.8334 0.5000
Sm: 0.8334 0.1666 0.5000
Sm: 0.5000 0.5000 0.5000
Er: 0.0000 0.0000 0.0000

Nd3Sm2ErTe6: relaxed, GGA-PBE.

Properties
DOS(E_F) = 6.59 states/eV per cell
DFT total energy = -63.7 eV per cell
Energy relative to the elements, uncorrected = -1.38 eV per atom
Space-group type = No. 12

a = 4.4174 Å, b = 8.9691 Å, c = 9.9682 Å
α = 103.26°, β = 102.80°, γ = 90.00°
Positions (direct):
Nd: 0.5000 0.5000 0.0000
Nd: 0.8288 0.1653 0.6576
Nd: 0.1712 0.8347 0.3424
Sm: 0.8305 0.6630 0.6610
Sm: 0.1695 0.3370 0.3390
Er: 0.5000 0.0000 0.0000
Te: 0.3392 0.9163 0.6784
Te: 0.6662 0.5809 0.3325
Te: 0.6608 0.0837 0.3216
Te: 0.0001 0.2395 0.0002
Te: 0.9999 0.7605 0.9998
Te: 0.3338 0.4191 0.6675

Nd4Sm3ErTe8: relaxed, GGA-PBE.

Properties
DOS(E_F) = 12.57 states/eV per cell
DFT total energy = -85.0 eV per cell
Energy relative to the elements, uncorrected = -1.38 eV per atom
Space-group type = No. 166

a = 8.8920 Å, b = 8.9375 Å, c = 8.8898 Å
α = 119.81°, β = 120.01°, γ = 90.00°
Positions (direct):
Nd: 0.5000 0.0000 0.0000
Nd: 0.5000 0.0000 0.5000
Nd: 0.0000 0.0000 0.0000
Nd: 0.0000 0.0000 0.5000
Sm: 0.5000 0.5000 0.0000
Sm: 0.5000 0.5000 0.5000
Sm: 0.0000 0.5000 0.5000
Er: 0.0000 0.5000 0.0000
Te: 0.2445 0.7416 0.9971
Te: 0.2445 0.7416 0.4890
Te: 0.2515 0.2545 0.5030
Te: 0.7525 0.7416 0.9971
Te: 0.2475 0.2584 0.0029
Te: 0.7485 0.7455 0.4970
Te: 0.7555 0.2584 0.5110
Te: 0.7555 0.2584 0.0029

Nd4SmEr3Te8: relaxed, GGA-PBE.

Properties
DOS(E_F) = 11.31 states/eV per cell
DFT total energy = -84.0 eV per cell
Energy relative to the elements, uncorrected = -1.34 eV per atom
Space-group type = No. 166

a = 8.7516 Å, b = 8.9555 Å, c = 8.7514 Å
α = 119.25°, β = 120.00°, γ = 90.00°
Positions (direct):
Nd: 0.5000 0.0000 0.0000
Nd: 0.5000 0.0000 0.5000
Nd: 0.0000 0.0000 0.0000
Nd: 0.0000 0.0000 0.5000
Sm: 0.0000 0.5000 0.0000
Er: 0.5000 0.5000 0.0000
Er: 0.5000 0.5000 0.5000
Er: 0.0000 0.5000 0.5000
Te: 0.2485 0.7377 0.9892
Te: 0.2485 0.7377 0.4970
Te: 0.2553 0.2658 0.5105
Te: 0.7407 0.7377 0.9892
Te: 0.2593 0.2623 0.0108
Te: 0.7447 0.7342 0.4895
Te: 0.7515 0.2623 0.5030
Te: 0.7515 0.2623 0.0108

NdSm2Er3Te6: relaxed, GGA-PBE.

Properties
DOS(E_F) = 5.94 states/eV per cell
DFT total energy = -62.5 eV per cell
Energy relative to the elements, uncorrected = -1.31 eV per atom
Space-group type = No. 12

a = 4.3416 Å, b = 8.8882 Å, c = 9.8764 Å
α = 104.61°, β = 102.70°, γ = 90.00°
Positions (direct):
Nd: 0.5000 0.0000 0.0000
Sm: 0.8343 0.6692 0.6686
Sm: 0.1657 0.3308 0.3314
Er: 0.5000 0.5000 0.0000
Er: 0.8348 0.1681 0.6697
Er: 0.1652 0.8319 0.3303
Te: 0.3292 0.9232 0.6583
Te: 0.6646 0.5885 0.3293
Te: 0.6708 0.0768 0.3417
Te: 0.9978 0.2594 0.9957
Te: 0.0022 0.7406 0.0043
Te: 0.3354 0.4115 0.6707

Nd3SmEr3Te8: relaxed, GGA-PBE.

Properties
DOS(E_F) = 6.89 states/eV per cell
DFT total energy = -78.8 eV per cell
Energy relative to the elements, uncorrected = -1.39 eV per atom
Space-group type = No. 166

a = 8.7720 Å, b = 8.7719 Å, c = 8.8054 Å
α = 119.87°, β = 90.00°, γ = 120.00°
Positions (direct):
Nd: 0.0000 0.0000 0.0000
Nd: 0.0000 0.5000 0.0000
Nd: 0.5000 0.5000 0.0000
Sm: 0.0000 0.0000 0.5000
Er: 0.5000 0.0000 0.5000
Er: 0.5000 0.5000 0.5000
Er: 0.0000 0.5000 0.5000
Te: 0.2547 0.5094 0.2642
Te: 0.7453 0.4906 0.7358
Te: 0.7430 0.4859 0.2526
Te: 0.2570 0.5141 0.7474
Te: 0.7430 0.0096 0.2526
Te: 0.2570 0.9904 0.7474
Te: 0.2667 0.0096 0.2526
Te: 0.7333 0.9904 0.7474

NdSm2ErTe6: relaxed, GGA-PBE.

Properties
DFT total energy = -51.3 eV per cell
Energy relative to the elements, uncorrected = -1.37 eV per atom
Space-group type = No. 146

a = 7.8318 Å, b = 7.8319 Å, c = 8.4269 Å
α = 62.31°, β = 62.31°, γ = 60.00°
Positions (direct):
Nd: 0.8210 0.8210 0.5369
Sm: 0.5122 0.5121 0.4636
Sm: 0.0101 0.0101 0.9697
Er: 0.3235 0.3235 0.0294
Te: 0.5962 0.2277 0.2497
Te: 0.2276 0.9264 0.2497
Te: 0.9265 0.5962 0.2497
Te: 0.4133 0.7212 0.7555
Te: 0.7213 0.1099 0.7555
Te: 0.1100 0.4133 0.7555

NdSm3ErTh: relaxed, GGA-PBE.

Properties
DOS(E_F) = 17.81 states/eV per cell
DFT total energy = -61.5 eV per cell
Formation energy from the elements = 0.03 eV/atom
Space-group type = No. 11

a = 5.1087 Å, b = 8.0767 Å, c = 10.8170 Å
α = 116.47°, β = 90.00°, γ = 90.00°
Positions (direct):
Nd: 0.2500 0.1221 0.2925
Nd: 0.7500 0.8779 0.7075
Sm: 0.7500 0.8663 0.0445
Sm: 0.2500 0.1337 0.9555
Sm: 0.2500 0.6284 0.4560
Sm: 0.7500 0.3716 0.5440
Sm: 0.7500 0.3845 0.2057
Sm: 0.2500 0.6155 0.7943
Er: 0.2500 0.1277 0.6277
Er: 0.7500 0.8723 0.3723
Th: 0.2500 0.6213 0.1222
Th: 0.7500 0.3787 0.8778

Nd3Sm6Er2Th: relaxed, GGA-PBE.

Properties
DOS(E_F) = 16.75 states/eV per cell
DFT total energy = -58.8 eV per cell
Formation energy from the elements = 0.03 eV/atom
Space-group type = No. 12

a = 6.2561 Å, b = 6.2561 Å, c = 12.0404 Å
α = 94.97°, β = 94.97°, γ = 119.91°
Positions (direct):
Nd: 0.1669 0.8331 0.5000
Nd: 0.8331 0.1669 0.5000
Nd: 0.5000 0.5000 0.5000
Sm: 0.9177 0.5875 0.7548
Sm: 0.7521 0.7521 0.2454
Sm: 0.0823 0.4125 0.2452
Sm: 0.5875 0.9177 0.7548
Sm: 0.2479 0.2479 0.7546
Sm: 0.4125 0.0823 0.2452
Er: 0.3334 0.6666 0.0000
Er: 0.6666 0.3334 0.0000
Th: 0.0000 0.0000 0.0000

Nd2SmErTh: relaxed, GGA-PBE.

Properties
DOS(E_F) = 12.70 states/eV per cell
DFT total energy = -49.4 eV per cell
Formation energy from the elements = 0.31 eV/atom
Space-group type = No. 13

a = 6.4147 Å, b = 8.6485 Å, c = 6.3968 Å
α = 96.27°, β = 90.00°, γ = 90.00°
Positions (direct):
Nd: 0.6975 0.6866 0.7858
Nd: 0.6975 0.3134 0.7142
Nd: 0.3025 0.6866 0.2858
Nd: 0.3025 0.3134 0.2142
Sm: 0.0000 0.0000 0.0000
Sm: 0.0000 0.0000 0.5000
Er: 0.1777 0.5000 0.7500
Er: 0.8223 0.5000 0.2500
Th: 0.5484 0.0000 0.2500
Th: 0.4516 0.0000 0.7500

NdSm2Er4Th: relaxed, GGA-PBE.

Properties
DOS(E_F) = 10.88 states/eV per cell
DFT total energy = -39.7 eV per cell
Formation energy from the elements = 0.03 eV/atom
Space-group type = No. 47

a = 5.0953 Å, b = 5.0788 Å, c = 11.1503 Å
α = 62.94°, β = 90.00°, γ = 90.00°
Positions (direct):
Nd: 0.5000 0.5000 0.0000
Sm: 0.0000 0.0000 0.0000
Sm: 0.5000 0.0000 0.5000
Er: 0.0000 0.7547 0.7452
Er: 0.0000 0.2453 0.2548
Er: 0.5000 0.7448 0.2550
Er: 0.5000 0.2552 0.7450
Th: 0.0000 0.5000 0.5000